Compound: Ba6CaNb2IrCl2O12
Source: Alexandria
Functional: PBE
Structure: relaxed

Cell: 5.9563 6.2552 15.6638 Å, 96.24 90.37 118.54°
Last column: magnetic moment on the atom in μB.
Atoms (fractional coordinates):
O1 0.9037 0.8359 0.7627  0.00
O2 0.0946 0.1723 0.2433  0.00
O3 0.1083 0.7190 0.2537  0.00
O4 0.7288 0.9370 0.0975  0.03
O5 0.4006 0.2728 0.7466  0.00
O6 0.8181 0.0972 0.9148  0.11
O7 0.1858 0.9268 0.0927  0.09
O8 0.7257 0.4752 0.1135  0.00
O9 0.8994 0.2918 0.7485  0.00
O10 0.2602 0.0700 0.9101  0.03
O11 0.6091 0.7302 0.2565  0.00
O12 0.2789 0.5247 0.8858  0.00
Ba1 0.7835 0.5393 0.8813  0.00
Ba2 0.2698 0.5425 0.3677  0.00
Ba3 0.7437 0.4785 0.6367  0.00
Ba4 0.5807 0.1720 0.2350  0.00
Ba5 0.4422 0.8607 0.7770  0.00
Ba6 0.2573 0.5206 0.1120  0.00
Ca1 0.5456 0.1050 0.0172  0.00
Nb1 0.1139 0.2064 0.8136  0.00
Nb2 0.9040 0.8198 0.1910  0.00
Ir1 0.9988 0.0139 0.0046  0.69
Cl1 0.3415 0.6782 0.5744  0.00
Cl2 0.6725 0.3435 0.4309  0.00

Fermi-level density of states in states/eV per cell: 5.083
Crystal system: triclinic
M_tot in μB/f.u.: 1.02
Offset from the most stable computed form in meV/atom: 0
Final energy in eV per atom: -6.894
Formation energy (no corrections) in meV/atom: -2488

***

Compound: LaTiIr
Source: Alexandria
Functional: PBE
Structure: relaxed

Cell: 4.4799 4.4799 6.7394 Å, 90.00 90.00 90.00°
Atoms (fractional coordinates):
Ir1 0.5000 0.0000 0.6889
Ir2 0.0000 0.5000 0.3111
La1 0.0000 0.5000 0.8638
La2 0.5000 0.0000 0.1362
Ti1 0.0000 0.0000 0.5000
Ti2 0.5000 0.5000 0.5000

Fermi-level density of states in states/eV per cell: 7.481
Crystal system: tetragonal
Energy of formation from the pure elements in eV per formula unit: -2.0
M_tot in μB/f.u.: 0.00
Final energy in eV per atom: -7.882

***

Compound: Ce2CuF8
Source: Alexandria
Functional: PBE
Structure: relaxed

Cell: 3.7438 5.9473 7.7993 Å, 101.25 95.46 90.48°
Last column: magnetic moment on the atom in μB.
Atoms (fractional coordinates):
Cu1 0.5000 0.0000 0.0000  -0.12
F1 0.3090 0.4586 0.7822  -0.01
F2 0.2738 0.0138 0.6190  0.00
F3 0.2367 0.3483 0.4362  -0.01
F4 0.7633 0.6517 0.5638  -0.01
F5 0.8255 0.1468 0.8907  -0.01
F6 0.7262 0.9862 0.3810  0.00
F7 0.1745 0.8532 0.1093  -0.01
F8 0.6910 0.5414 0.2178  -0.01
Ce1 0.7797 0.2861 0.6388  0.56
Ce2 0.2203 0.7139 0.3612  0.56

Fermi-level density of states in states/eV per cell: 11.551
Crystal system: triclinic
M_tot in μB/f.u.: 0.97
Offset from the most stable computed form in meV/atom: 0
Final energy in eV per atom: -6.170
Formation energy (no corrections) in meV/atom: -3358

***

Compound: UMn2CrS6
Source: Alexandria
Functional: PBE
Structure: relaxed

Cell: 6.2254 6.2257 6.8459 Å, 62.95 62.94 60.01°
Last column: magnetic moment on the atom in μB.
Atoms (fractional coordinates):
U1 0.3251 0.3250 0.0250  1.04
S1 0.7437 0.0868 0.7433  -0.06
S2 0.0872 0.4259 0.7431  -0.06
S3 0.6134 0.2223 0.2647  -0.07
S4 0.4262 0.7436 0.7434  -0.06
S5 0.2222 0.8997 0.2646  -0.07
S6 0.8995 0.6138 0.2645  -0.07
Mn1 0.5065 0.5067 0.4802  -3.91
Mn2 0.0101 0.0102 0.9692  -3.87
Cr1 0.8276 0.8277 0.5172  2.73

Fermi-level density of states in states/eV per cell: 10.296
Crystal system: trigonal
M_tot in μB/f.u.: 4.79
Final energy in eV per atom: -7.179
Formation energy (no corrections) in meV/atom: -777

***

Compound: ZrPt
Source: Alexandria
Functional: PBE
Structure: relaxed

Cell: 4.6734 4.6734 8.2213 Å, 90.00 90.00 120.00°
Atoms (fractional coordinates):
Pt1 0.6667 0.3333 0.2500
Pt2 0.3333 0.6667 0.7500
Pt3 0.0000 0.0000 0.2500
Pt4 0.0000 0.0000 0.7500
Zr1 0.6667 0.3333 0.5902
Zr2 0.3333 0.6667 0.4098
Zr3 0.6667 0.3333 0.9098
Zr4 0.3333 0.6667 0.0902

Fermi-level density of states in states/eV per cell: 3.889
Crystal system: hexagonal
Energy of formation from the pure elements in eV per formula unit: -1.1
M_tot in μB/f.u.: 0.00
Final energy in eV per atom: -7.864

***

Compound: Cu3N
Source: Alexandria
Functional: PBE
Structure: relaxed

Cell: 2.7477 2.7477 6.6201 Å, 90.00 90.00 120.00°
Atoms (fractional coordinates):
Cu1 0.6667 0.3333 0.1953
Cu2 0.3333 0.6667 0.8047
Cu3 0.0000 0.0000 0.5000
N1 0.0000 0.0000 0.0000

Fermi-level density of states in states/eV per cell: 1.812
Crystal system: trigonal
M_tot in μB/f.u.: 0.00
Final energy in eV per atom: -4.557
Formation energy (no corrections) in meV/atom: 596

***

Compound: Nd2Sm2SiIr4
Source: Alexandria
Functional: PBE
Structure: relaxed

Cell: 6.5061 6.5061 6.5061 Å, 90.14 119.92 119.92°
Atoms (fractional coordinates):
Nd1 0.5000 0.7500 0.2500
Nd2 0.5000 0.2500 0.7500
Sm1 0.0000 0.3112 0.3112
Sm2 0.0000 0.6888 0.6888
Si1 0.0000 0.0000 0.0000
Ir1 0.5054 0.2527 0.2527
Ir2 0.0000 0.2527 0.7473
Ir3 0.0000 0.7473 0.2527
Ir4 0.4946 0.7473 0.7473

Fermi-level density of states in states/eV per cell: 5.672
Crystal system: tetragonal
M_tot in μB/f.u.: 0.00
Final energy in eV per atom: -7.063
Formation energy (no corrections) in meV/atom: -414

***

Compound: Ba8Pd2Pb
Source: Alexandria
Functional: PBE
Structure: relaxed

Cell: 6.2532 9.2503 9.2503 Å, 109.97 97.31 97.31°
Atoms (fractional coordinates):
Pb1 0.0008 0.0039 0.0039
Ba1 0.9996 0.2501 0.7553
Ba2 0.5870 0.0599 0.3257
Ba3 0.5870 0.3257 0.0599
Ba4 0.7929 0.6307 0.6307
Ba5 0.4122 0.9458 0.6796
Ba6 0.9996 0.7553 0.2501
Ba7 0.4122 0.6796 0.9458
Ba8 0.2083 0.3767 0.3767
Pd1 0.5000 0.6889 0.3173
Pd2 0.5000 0.3173 0.6889

Fermi-level density of states in states/eV per cell: 11.520
Crystal system: monoclinic
Energy of formation from the pure elements in eV per formula unit: -3.0
M_tot in μB/f.u.: 0.00
Final energy in eV per atom: -2.952

***

Please write out number 2 again, unchanged.
Compound: LaTiIr
Source: Alexandria
Functional: PBE
Structure: relaxed

Cell: 4.4799 4.4799 6.7394 Å, 90.00 90.00 90.00°
Atoms (fractional coordinates):
Ir1 0.5000 0.0000 0.6889
Ir2 0.0000 0.5000 0.3111
La1 0.0000 0.5000 0.8638
La2 0.5000 0.0000 0.1362
Ti1 0.0000 0.0000 0.5000
Ti2 0.5000 0.5000 0.5000

Fermi-level density of states in states/eV per cell: 7.481
Crystal system: tetragonal
Energy of formation from the pure elements in eV per formula unit: -2.0
M_tot in μB/f.u.: 0.00
Final energy in eV per atom: -7.882

***

> Look up the final energy of the sixth one.

-4.557 eV per atom